Record 1
## Na2B3C (PBE)

Data for a relaxed structure of Na2B3C.

The structure in CIF format:
```
data_Na2B3C
_chemical_formula_sum 'Na8 B12 C4'
_space_group_name_H-M_alt 'P m m a'
_space_group_IT_number 51
_cell_length_a 8.6532
_cell_length_b 2.7838
_cell_length_c 10.5207
_cell_angle_alpha 90.00
_cell_angle_beta 90.00
_cell_angle_gamma 90.00
loop_
_space_group_symop_operation_xyz
'x,y,z'
'-x,-y,-z'
'-x+1/2,-y,z'
'x+1/2,y,-z'
'x+1/2,-y,-z'
'-x+1/2,y,z'
'-x,y,-z'
'x,-y,z'
loop_
_atom_site_label
_atom_site_fract_x
_atom_site_fract_y
_atom_site_fract_z
Na1 0.0000 0.0000 0.0000
Na2 0.0000 0.0000 0.5000
Na3 0.0031 0.5000 0.2465
B1 0.2500 0.0000 0.1494
B2 0.2500 0.0000 0.3150
B3 0.2500 0.0000 0.6930
B4 0.2500 0.5000 0.4232
B5 0.2500 0.5000 0.5864
B6 0.2500 0.5000 0.9190
C1 0.2500 0.0000 0.8406
C2 0.2500 0.5000 0.0720
```

Output
formation energy from the elements	0.1425	eV/atom
energy relative to the lowest polymorph listed for this composition	9	meV/atom
final energy	-5.173	eV/atom



Record 2
## Na8B9C7 (PBE)

Data for a relaxed structure of Na8B9C7.

The structure in CIF format:
```
data_Na8B9C7
_chemical_formula_sum 'Na16 B18 C14'
_space_group_name_H-M_alt 'I m m 2'
_space_group_IT_number 44
_cell_length_a 2.8232
_cell_length_b 33.8352
_cell_length_c 4.9585
_cell_angle_alpha 90.00
_cell_angle_beta 90.00
_cell_angle_gamma 90.00
loop_
_space_group_symop_operation_xyz
'x,y,z'
'-x,-y,z'
'-x,y,z'
'x,-y,z'
'x+1/2,y+1/2,z+1/2'
'-x+1/2,-y+1/2,z+1/2'
'-x+1/2,y+1/2,z+1/2'
'x+1/2,-y+1/2,z+1/2'
loop_
_atom_site_label
_atom_site_fract_x
_atom_site_fract_y
_atom_site_fract_z
Na1 0.0000 0.0631 0.0000
Na2 0.0000 0.1879 0.0011
Na3 0.0000 0.3121 0.0011
Na4 0.0000 0.4363 0.0016
B1 0.0000 0.0000 0.3590
B2 0.0000 0.1258 0.6685
B3 0.0000 0.2500 0.3336
B4 0.0000 0.3742 0.6684
B5 0.0000 0.5000 0.3226
B6 0.0000 0.5000 0.6574
C1 0.0000 0.0000 0.6676
C2 0.0000 0.1259 0.3351
C3 0.0000 0.2500 0.6670
C4 0.0000 0.3742 0.3352
```

Output
formation energy from the elements	0.0377	eV/atom
energy relative to the lowest polymorph listed for this composition	8	meV/atom
final energy	-5.596	eV/atom



Record 3
## Na2B3C (PBE)

Data for a relaxed structure of Na2B3C.

The structure in CIF format:
```
data_Na2B3C
_chemical_formula_sum 'Na20 B30 C10'
_space_group_name_H-M_alt 'C 1 m 1'
_space_group_IT_number 8
_cell_length_a 23.3068
_cell_length_b 2.8170
_cell_length_c 10.0842
_cell_angle_alpha 90.00
_cell_angle_beta 106.71
_cell_angle_gamma 90.00
loop_
_space_group_symop_operation_xyz
'x,y,z'
'x,-y,z'
'x+1/2,y+1/2,z'
'x+1/2,-y+1/2,z'
loop_
_atom_site_label
_atom_site_fract_x
_atom_site_fract_y
_atom_site_fract_z
Na1 0.0000 0.0000 0.0000
Na2 0.0003 0.5000 0.4953
Na3 0.1010 0.0000 0.6951
Na4 0.1005 0.5000 0.1983
Na5 0.1989 0.0000 0.3931
Na6 0.1988 0.5000 0.8970
Na7 0.2979 0.0000 0.0956
Na8 0.2981 0.5000 0.5907
Na9 0.3985 0.0000 0.7947
Na10 0.3989 0.5000 0.2951
B1 0.0244 0.0000 0.2933
B2 0.0279 0.5000 0.8008
B3 0.0909 0.0000 0.4265
B4 0.1195 0.0000 0.9853
B5 0.1823 0.5000 0.6104
B6 0.2127 0.5000 0.1738
B7 0.2720 0.0000 0.7923
B8 0.3069 0.0000 0.3628
B9 0.3129 0.5000 0.8754
B10 0.3750 0.0000 0.4972
B11 0.3762 0.5000 0.0016
B12 0.4193 0.0000 0.0872
B13 0.4193 0.5000 0.5852
B14 0.4838 0.0000 0.2135
B15 0.4840 0.5000 0.7130
C1 0.0878 0.5000 0.9202
C2 0.1212 0.5000 0.4868
C3 0.1813 0.0000 0.1108
C4 0.2129 0.0000 0.6726
C5 0.2754 0.5000 0.3006
```

Output
formation energy from the elements	0.1467	eV/atom
energy relative to the lowest polymorph listed for this composition	13	meV/atom
final energy	-5.169	eV/atom



Record 4
## Na2B3C (PBE)

Data for a relaxed structure of Na2B3C.

The structure in CIF format:
```
data_Na2B3C
_chemical_formula_sum 'Na12 B18 C6'
_space_group_name_H-M_alt 'C 1 m 1'
_space_group_IT_number 8
_cell_length_a 15.6488
_cell_length_b 2.8091
_cell_length_c 10.1210
_cell_angle_alpha 90.00
_cell_angle_beta 121.13
_cell_angle_gamma 90.00
loop_
_space_group_symop_operation_xyz
'x,y,z'
'x,-y,z'
'x+1/2,y+1/2,z'
'x+1/2,-y+1/2,z'
loop_
_atom_site_label
_atom_site_fract_x
_atom_site_fract_y
_atom_site_fract_z
Na1 0.0000 0.0000 0.0000
Na2 0.0003 0.5000 0.4937
Na3 0.1688 0.0000 0.5010
Na4 0.1703 0.5000 0.0042
Na5 0.3341 0.5000 0.4982
Na6 0.3361 0.0000 0.0010
B1 0.0442 0.0000 0.7491
B2 0.1297 0.5000 0.2513
B3 0.1974 0.5000 0.7489
B4 0.1976 0.0000 0.2507
B5 0.3025 0.0000 0.2488
B6 0.3545 0.0000 0.7505
B7 0.3704 0.5000 0.2477
B8 0.4670 0.0000 0.7503
B9 0.4798 0.5000 0.2498
C1 0.0309 0.5000 0.2511
C2 0.1433 0.0000 0.7480
C3 0.3017 0.5000 0.7503
```

Output
formation energy from the elements	0.1524	eV/atom
energy relative to the lowest polymorph listed for this composition	19	meV/atom
final energy	-5.163	eV/atom



Record 5
## Na2B3C (PBE)

Data for a relaxed structure of Na2B3C.

The structure in CIF format:
```
data_Na2B3C
_chemical_formula_sum 'Na8 B12 C4'
_space_group_name_H-M_alt 'P m n 21'
_space_group_IT_number 31
_cell_length_a 2.8590
_cell_length_b 17.2331
_cell_length_c 5.1446
_cell_angle_alpha 90.00
_cell_angle_beta 90.00
_cell_angle_gamma 90.00
loop_
_space_group_symop_operation_xyz
'x,y,z'
'-x+1/2,-y,z+1/2'
'-x,y,z'
'x+1/2,-y,z+1/2'
loop_
_atom_site_label
_atom_site_fract_x
_atom_site_fract_y
_atom_site_fract_z
Na1 0.0000 0.1215 0.0000
Na2 0.0000 0.3741 0.9957
Na3 0.0000 0.6271 0.0005
Na4 0.0000 0.8774 0.9980
B1 0.0000 0.0000 0.6708
B2 0.0000 0.2471 0.3195
B3 0.0000 0.2473 0.6501
B4 0.0000 0.4940 0.3357
B5 0.0000 0.5059 0.6637
B6 0.0000 0.7528 0.3629
C1 0.0000 0.0001 0.3350
C2 0.0000 0.7532 0.6625
```

Output
formation energy from the elements	0.1700	eV/atom
energy relative to the lowest polymorph listed for this composition	37	meV/atom
final energy	-5.146	eV/atom



Record 6
## Na2B3C (PBE)

Data for a relaxed structure of Na2B3C.

The structure in CIF format:
```
data_Na2B3C
_chemical_formula_sum 'Na20 B30 C10'
_space_group_name_H-M_alt 'A m m 2'
_space_group_IT_number 38
_cell_length_a 8.6247
_cell_length_b 2.8179
_cell_length_c 26.0870
_cell_angle_alpha 90.00
_cell_angle_beta 90.00
_cell_angle_gamma 90.00
loop_
_space_group_symop_operation_xyz
'x,y,z'
'-x,-y,z'
'-x,y,z'
'x,-y,z'
'x,y+1/2,z+1/2'
'-x,-y+1/2,z+1/2'
'-x,y+1/2,z+1/2'
'x,-y+1/2,z+1/2'
loop_
_atom_site_label
_atom_site_fract_x
_atom_site_fract_y
_atom_site_fract_z
Na1 0.2472 0.0000 0.0000
Na2 0.2482 0.0000 0.1973
Na3 0.2491 0.0000 0.5994
Na4 0.2505 0.0000 0.3983
Na5 0.2528 0.0000 0.7963
B1 0.0000 0.0000 0.1279
B2 0.0000 0.0000 0.3231
B3 0.0000 0.0000 0.4703
B4 0.0000 0.0000 0.5366
B5 0.0000 0.0000 0.6669
B6 0.0000 0.0000 0.7329
B7 0.0000 0.0000 0.8652
B8 0.0000 0.0000 0.9290
B9 0.5000 0.0000 0.0687
B10 0.5000 0.0000 0.2563
B11 0.5000 0.0000 0.3248
B12 0.5000 0.0000 0.4767
B13 0.5000 0.0000 0.6621
B14 0.5000 0.0000 0.8681
B15 0.5000 0.0000 0.9331
C1 0.0000 0.0000 0.0670
C2 0.0000 0.0000 0.2641
C3 0.5000 0.0000 0.1308
C4 0.5000 0.0000 0.5366
C5 0.5000 0.0000 0.7252
```

Output
formation energy from the elements	0.1547	eV/atom
energy relative to the lowest polymorph listed for this composition	21	meV/atom
final energy	-5.161	eV/atom



Record 7
## Na3B5C (PBE)

Data for a relaxed structure of Na3B5C.

The structure in CIF format:
```
data_Na3B5C
_chemical_formula_sum 'Na12 B20 C4'
_space_group_name_H-M_alt 'A m m 2'
_space_group_IT_number 38
_cell_length_a 8.6532
_cell_length_b 2.8924
_cell_length_c 15.6358
_cell_angle_alpha 90.00
_cell_angle_beta 90.00
_cell_angle_gamma 90.00
loop_
_space_group_symop_operation_xyz
'x,y,z'
'-x,-y,z'
'-x,y,z'
'x,-y,z'
'x,y+1/2,z+1/2'
'-x,-y+1/2,z+1/2'
'-x,y+1/2,z+1/2'
'x,-y+1/2,z+1/2'
loop_
_atom_site_label
_atom_site_fract_x
_atom_site_fract_y
_atom_site_fract_z
Na1 0.2465 0.0000 0.0000
Na2 0.2485 0.0000 0.6662
Na3 0.2501 0.0000 0.3317
B1 0.0000 0.0000 0.1125
B2 0.0000 0.0000 0.2199
B3 0.0000 0.0000 0.4458
B4 0.0000 0.0000 0.5529
B5 0.0000 0.0000 0.7786
B6 0.0000 0.0000 0.8865
B7 0.5000 0.0000 0.1123
B8 0.5000 0.0000 0.4583
B9 0.5000 0.0000 0.7691
B10 0.5000 0.0000 0.8829
C1 0.5000 0.0000 0.2164
C2 0.5000 0.0000 0.5584
```

Output
formation energy from the elements	0.2240	eV/atom
energy relative to the lowest polymorph listed for this composition	32	meV/atom
final energy	-4.950	eV/atom



Record 8
## Na5B9C (PBE)

Data for a relaxed structure of Na5B9C.

The structure in CIF format:
```
data_Na5B9C
_chemical_formula_sum 'Na10 B18 C2'
_space_group_name_H-M_alt 'P -1'
_space_group_IT_number 2
_cell_length_a 5.1136
_cell_length_b 7.9383
_cell_length_c 9.1654
_cell_angle_alpha 75.82
_cell_angle_beta 73.84
_cell_angle_gamma 71.23
loop_
_space_group_symop_operation_xyz
'x,y,z'
'-x,-y,-z'
loop_
_atom_site_label
_atom_site_fract_x
_atom_site_fract_y
_atom_site_fract_z
Na1 0.0000 0.0000 0.0000
Na2 0.0000 0.5000 0.5000
Na3 0.1960 0.1007 0.5011
Na4 0.2004 0.5995 0.0004
Na5 0.3977 0.2000 0.9986
Na6 0.4033 0.7007 0.4988
B1 0.0365 0.8521 0.7503
B2 0.0399 0.3500 0.2498
B3 0.1632 0.2555 0.7494
B4 0.1800 0.7508 0.2497
B5 0.2311 0.9561 0.2498
B6 0.2387 0.4476 0.7497
B7 0.3899 0.8320 0.7502
B8 0.4199 0.0506 0.7492
B9 0.4285 0.5324 0.2496
C1 0.3581 0.3505 0.2493
```

Output
formation energy from the elements	0.2523	eV/atom
energy relative to the lowest polymorph listed for this composition	16	meV/atom
final energy	-4.809	eV/atom



Record 9
## Na2B3C (PBE)

Data for a relaxed structure of Na2B3C.

The structure in CIF format:
```
data_Na2B3C
_chemical_formula_sum 'Na20 B30 C10'
_space_group_name_H-M_alt 'A m m 2'
_space_group_IT_number 38
_cell_length_a 8.6317
_cell_length_b 2.8155
_cell_length_c 26.0932
_cell_angle_alpha 90.00
_cell_angle_beta 90.00
_cell_angle_gamma 90.00
loop_
_space_group_symop_operation_xyz
'x,y,z'
'-x,-y,z'
'-x,y,z'
'x,-y,z'
'x,y+1/2,z+1/2'
'-x,-y+1/2,z+1/2'
'-x,y+1/2,z+1/2'
'x,-y+1/2,z+1/2'
loop_
_atom_site_label
_atom_site_fract_x
_atom_site_fract_y
_atom_site_fract_z
Na1 0.2467 0.0000 0.0000
Na2 0.2475 0.0000 0.4013
Na3 0.2499 0.0000 0.6010
Na4 0.2507 0.0000 0.2024
Na5 0.2525 0.0000 0.8031
B1 0.0000 0.0000 0.0631
B2 0.0000 0.0000 0.1293
B3 0.0000 0.0000 0.2765
B4 0.0000 0.0000 0.4718
B5 0.0000 0.0000 0.6709
B6 0.0000 0.0000 0.7345
B7 0.0000 0.0000 0.8667
B8 0.0000 0.0000 0.9328
B9 0.5000 0.0000 0.0669
B10 0.5000 0.0000 0.1317
B11 0.5000 0.0000 0.3380
B12 0.5000 0.0000 0.5231
B13 0.5000 0.0000 0.6752
B14 0.5000 0.0000 0.7436
B15 0.5000 0.0000 0.9313
C1 0.0000 0.0000 0.3356
C2 0.0000 0.0000 0.5327
C3 0.5000 0.0000 0.2748
C4 0.5000 0.0000 0.4633
C5 0.5000 0.0000 0.8692
```

Output
formation energy from the elements	0.1539	eV/atom
energy relative to the lowest polymorph listed for this composition	21	meV/atom
final energy	-5.162	eV/atom



Record 10
## Na5B8C2 (PBE)

Data for a relaxed structure of Na5B8C2.

The structure in CIF format:
```
data_Na5B8C2
_chemical_formula_sum 'Na10 B16 C4'
_space_group_name_H-M_alt 'P -3 m 1'
_space_group_IT_number 164
_space_group_name_Hall '-P 3 2"'
_cell_length_a 2.9390
_cell_length_b 2.9390
_cell_length_c 42.9431
_cell_angle_alpha 90.00
_cell_angle_beta 90.00
_cell_angle_gamma 120.00
loop_
_atom_site_label
_atom_site_fract_x
_atom_site_fract_y
_atom_site_fract_z
Na1 0.0000 0.0000 0.0000
Na2 0.0000 0.0000 0.1013
Na3 0.0000 0.0000 0.2023
Na4 0.0000 0.0000 0.3003
Na5 0.0000 0.0000 0.3984
Na6 0.0000 0.0000 0.5000
B1 0.3333 0.6667 0.0505
B2 0.3333 0.6667 0.1518
B3 0.3333 0.6667 0.3492
B4 0.3333 0.6667 0.4491
B5 0.3333 0.6667 0.5509
B6 0.3333 0.6667 0.7485
B7 0.3333 0.6667 0.8482
B8 0.3333 0.6667 0.9495
C1 0.3333 0.6667 0.2515
C2 0.3333 0.6667 0.6508
```

Output
formation energy from the elements	0.2222	eV/atom
energy relative to the lowest polymorph listed for this composition	52	meV/atom
final energy	-5.009	eV/atom



Record 11
## Na4B5C3 (PBE)

Data for a relaxed structure of Na4B5C3.

The structure in CIF format:
```
data_Na4B5C3
_chemical_formula_sum 'Na8 B10 C6'
_space_group_name_H-M_alt 'P 3 m 1'
_space_group_IT_number 156
_cell_length_a 2.8647
_cell_length_b 2.8647
_cell_length_c 33.9790
_cell_angle_alpha 90.00
_cell_angle_beta 90.00
_cell_angle_gamma 120.00
loop_
_space_group_symop_operation_xyz
'x,y,z'
'-y,x-y,z'
'-x+y,-x,z'
'-y,-x,z'
'-x+y,y,z'
'x,x-y,z'
loop_
_atom_site_label
_atom_site_fract_x
_atom_site_fract_y
_atom_site_fract_z
Na1 0.0000 0.0000 0.0000
Na2 0.0000 0.0000 0.1235
Na3 0.0000 0.0000 0.2471
Na4 0.0000 0.0000 0.3708
Na5 0.0000 0.0000 0.4946
Na6 0.0000 0.0000 0.6189
Na7 0.0000 0.0000 0.7474
Na8 0.0000 0.0000 0.8758
B1 0.3333 0.6667 0.0618
B2 0.3333 0.6667 0.3089
B3 0.3333 0.6667 0.5564
B4 0.3333 0.6667 0.6829
B5 0.3333 0.6667 0.8119
B6 0.6667 0.3333 0.1853
B7 0.6667 0.3333 0.4326
B8 0.6667 0.3333 0.6829
B9 0.6667 0.3333 0.8120
B10 0.6667 0.3333 0.9383
C1 0.3333 0.6667 0.1853
C2 0.3333 0.6667 0.4326
C3 0.3333 0.6667 0.9384
C4 0.6667 0.3333 0.0618
C5 0.6667 0.3333 0.3089
C6 0.6667 0.3333 0.5563
```

Output
formation energy from the elements	0.0976	eV/atom
energy relative to the lowest polymorph listed for this composition	37	meV/atom
final energy	-5.430	eV/atom



Record 12
## Na4B5C3 (PBE)

Data for a relaxed structure of Na4B5C3.

The structure in CIF format:
```
data_Na4B5C3
_chemical_formula_sum 'Na16 B20 C12'
_space_group_name_H-M_alt 'C 1 2/c 1'
_space_group_IT_number 15
_cell_length_a 5.6887
_cell_length_b 10.0090
_cell_length_c 8.9805
_cell_angle_alpha 90.00
_cell_angle_beta 108.40
_cell_angle_gamma 90.00
loop_
_space_group_symop_operation_xyz
'x,y,z'
'-x,-y,-z'
'-x,y,-z+1/2'
'x,-y,z+1/2'
'x+1/2,y+1/2,z'
'-x+1/2,-y+1/2,-z'
'-x+1/2,y+1/2,-z+1/2'
'x+1/2,-y+1/2,z+1/2'
loop_
_atom_site_label
_atom_site_fract_x
_atom_site_fract_y
_atom_site_fract_z
Na1 0.1253 0.1251 0.0002
Na2 0.1261 0.3748 0.5028
B1 0.0000 0.0438 0.2500
B2 0.0000 0.2144 0.2500
B3 0.0000 0.2912 0.7500
B4 0.2413 0.4530 0.2495
C1 0.0000 0.4573 0.7500
C2 0.2490 0.2923 0.2494
```

Output
formation energy from the elements	0.1036	eV/atom
energy relative to the lowest polymorph listed for this composition	43	meV/atom
final energy	-5.424	eV/atom